[1]
Y2InIr: optimized geometry, PBE.

Structure (CIF):
```
data_Y2InIr
_cell_length_a 3.986
_cell_length_b 3.986
_cell_length_c 6.660
_cell_angle_alpha 90.00
_cell_angle_beta 90.00
_cell_angle_gamma 90.00
_space_group_name_H-M_alt 'P 4 m m'
_space_group_IT_number 99
_space_group_name_Hall 'P 4 -2'
loop_
_atom_site_label
_atom_site_type_symbol
_atom_site_fract_x
_atom_site_fract_y
_atom_site_fract_z
_atom_site_occupancy
Y1 Y 0.000 0.000 0.000 1
Y2 Y 0.500 0.500 0.326 1
In1 In 0.000 0.000 0.545 1
Ir1 Ir 0.500 0.500 0.917 1
```

Results
Mass density (g/cm³): 7.6
Calculated total energy (eV/atom): -6.43

[2]
Mn2GaBSe: optimized geometry, PBE.

Structure (CIF):
```
data_Mn2GaBSe
_cell_length_a 11.456
_cell_length_b 3.713
_cell_length_c 3.648
_cell_angle_alpha 90.00
_cell_angle_beta 90.09
_cell_angle_gamma 90.00
_space_group_name_H-M_alt 'C 1 m 1'
_space_group_IT_number 8
_space_group_name_Hall 'C -2y'
loop_
_atom_site_label
_atom_site_type_symbol
_atom_site_fract_x
_atom_site_fract_y
_atom_site_fract_z
_atom_site_occupancy
Mn1 Mn 0.000 0.000 0.000 1
Mn2 Mn 0.004 0.500 0.500 1
Ga1 Ga 0.342 0.500 0.499 1
B1 B 0.431 0.000 0.000 1
Se1 Se 0.143 0.000 0.501 1
```

Results
Relative energy among the computed polymorphs (meV per atom): 158
Mass density (g/cm³): 5.8
ΔE_f (raw) (eV per atom): 0.022

Which formula does entry 1 have?
Y2InIr